No. 1
First-principles (GGA-PBE) data for an optimized crystal structure of CdGeAs2Br, as listed in Alexandria via LeMat-Bulk.

As for the energy: -2.53 eV/atom. As for the total magnetic moment: 0.93 μB/f.u. For the volume, the calculation gives 29.241 Å³ per atom.

Lattice parameters (Å, degrees): 5.1371 5.1371 5.5402 90.00 90.00 90.00
Closest atoms and distances in Å follow each position.
Sites, in units of the cell vectors:
Cd 0.0000 0.0000 0.0000  4 As 2.57, 2 Br 2.77
Ge 0.5000 0.5000 0.5000  4 Br 3.63, 8 As 3.78
As 0.0000 0.5000 0.0000  2 Cd 2.57
As 0.5000 0.0000 0.0000  2 Cd 2.57
Br 0.0000 0.0000 0.5000  2 Cd 2.77

***

No. 2
First-principles (GGA-PBE) data for an optimized crystal structure of Sc2RhPb, as listed in Alexandria via LeMat-Bulk.

The calculated formation energy is -0.15 eV per atom. As for the energy: -6.08 eV/atom. As for the total magnetic moment: 0.77 μB/f.u. For the volume, the calculation gives 22.245 Å³ per atom.

Lattice parameters (Å, degrees): 9.4969 9.4969 9.4969 20.16 20.16 20.16
Closest atoms and distances in Å follow each position.
Sites, in units of the cell vectors:
Sc 0.0000 0.0000 0.0000  3 Rh 2.66
Sc 0.2370 0.2370 0.2370  3 Pb 3.24, 9 Sc 3.30-3.32
Rh 0.7325 0.7325 0.7325  3 Sc 2.66, 3 Pb 2.90
Pb 0.4768 0.4768 0.4768  3 Rh 2.90, 3 Sc 3.24

***

No. 3
First-principles (GGA-PBE) data for an optimized crystal structure of Fe2NiAu, as listed in Alexandria via LeMat-Bulk.

The calculated formation energy is 0.25 eV per atom. As for the energy: -6.25 eV/atom. As for the total magnetic moment: 6.45 μB/f.u. For the volume, the calculation gives 13.656 Å³ per atom.

Lattice parameters (Å, degrees): 4.2589 4.2589 4.2589 60.00 60.00 60.00
Closest atoms and distances in Å follow each position.
Sites, in units of the cell vectors:
Fe 0.2500 0.2500 0.2500  4 Ni 2.61, 4 Au 2.61
Fe 0.7500 0.7500 0.7500  4 Ni 2.61, 4 Au 2.61
Ni 0.0000 0.0000 0.0000  8 Fe 2.61
Au 0.5000 0.5000 0.5000  8 Fe 2.61

***

No. 4
First-principles (GGA-PBE) data for an optimized crystal structure of CsRbTl2Pd, as listed in Alexandria via LeMat-Bulk.

The calculated formation energy is -0.05 eV per atom. As for the energy: -2.40 eV/atom. As for the total magnetic moment: 0.00 μB/f.u. For the volume, the calculation gives 38.813 Å³ per atom.

Lattice parameters (Å, degrees): 5.5086 5.5086 6.3954 90.00 90.00 90.00
Closest atoms and distances in Å follow each position.
Sites, in units of the cell vectors:
Cs 0.0000 0.0000 0.0000  4 Rb 3.90, 8 Tl 4.22
Rb 0.5000 0.5000 0.0000  2 Pd 3.20
Tl 0.0000 0.5000 0.5000  2 Pd 2.75
Tl 0.5000 0.0000 0.5000  2 Pd 2.75
Pd 0.5000 0.5000 0.5000  4 Tl 2.75